1.
GGA-PBE Rb2ZrCo, optimized geometry; SG = Fm-3m; polymorph energy (0 for the lowest one) = 953.7 meV/atom
1.0
0.000 3.993 3.993
3.993 0.000 3.993
3.993 3.993 0.000
Rb Zr Co
2 1 1
Cartesian
1.996 1.996 1.996
5.989 5.989 5.989
0.000 0.000 0.000
3.993 3.993 3.993

2.
GGA-PBE RbZrCo3, optimized geometry; SG = Pm-3m; polymorph energy (0 for the lowest one) = 0.0 meV/atom
1.0
4.876 0.000 0.000
0.000 4.876 0.000
0.000 0.000 4.876
Rb Zr Co
1 1 3
Cartesian
0.000 0.000 0.000
2.438 2.438 2.438
0.000 2.438 2.438
2.438 0.000 2.438
2.438 2.438 0.000

3.
GGA-PBE RbZr2Co, optimized geometry; SG = I4_1/amd; polymorph energy (0 for the lowest one) = 0.0 meV/atom
1.0
-3.350 3.350 6.607
3.350 -3.350 6.607
3.350 3.350 -6.607
Rb Zr Co
2 4 2
Cartesian
3.350 1.675 1.652
0.000 1.675 4.955
0.000 0.000 0.000
1.675 1.675 -3.303
1.675 -1.675 3.303
0.000 3.350 0.000
3.350 -1.675 4.955
0.000 5.026 1.652

4.
GGA-PBE CoRe4, optimized geometry; SG = Im-3m; polymorph energy (0 for the lowest one) = 1309.1 meV/atom
1.0
-2.748 2.748 2.748
2.748 -2.748 2.748
2.748 2.748 -2.748
Co Re
1 4
Cartesian
0.000 0.000 0.000
1.374 1.374 -1.374
1.374 -1.374 1.374
-1.374 1.374 1.374
1.374 1.374 1.374

5.
GGA-PBE Co4Re5, optimized geometry; SG = I4/mmm; polymorph energy (0 for the lowest one) = 0.0 meV/atom
1.0
-3.946 3.946 1.894
3.946 -3.946 1.894
3.946 3.946 -1.894
Co Re
4 5
Cartesian
2.676 0.000 0.000
5.216 0.000 0.000
0.000 2.676 0.000
0.000 5.216 0.000
0.000 0.000 0.000
2.597 2.597 0.000
1.349 -1.349 1.894
-1.349 1.349 1.894
1.349 1.349 1.894

6.
GGA-PBE Co3Re, optimized geometry; SG = C2/m
1.0
4.212 -1.291 0.000
4.212 1.291 0.000
-0.788 0.000 4.319
Co Re
3 1
Cartesian
0.000 0.000 0.000
1.537 0.000 3.266
6.100 0.000 1.053
3.818 0.000 2.159

Total energy values, unit hartree per atom, following the record order: -0.090, -0.176, -0.192, -0.368, -0.367, -0.307.
Theoretical density values, unit Mg/m³, following the record order: 4.19, 5.06, 3.66, 16.07, 16.42, 12.83.